Crystalline Ac3Co2O9 at its relaxed geometry. Source: Alexandria, functional GGA+U.

Structure (extended XYZ):
```
28
Lattice="7.0707 0.0790 0.7186 0.6572 7.0405 0.7186 0.0858 0.0790 7.1066" Properties=species:S:1:pos:R:3 pbc="T T T"
O 2.9530 0.7147 2.1360
O 1.2660 6.5349 2.5976
O 6.9489 5.3989 5.4123
O 2.0895 4.1049 3.4981
O 1.9978 0.7272 6.8217
O 5.7241 3.0936 5.0457
O 5.7712 4.3139 7.4035
O 4.8607 6.4839 6.4079
O 6.5476 0.6637 5.9462
O 6.7154 1.9316 1.4925
O 3.4527 4.2474 6.1509
O 3.1044 1.7467 4.5568
O 1.0983 5.2670 7.0514
O 0.8648 1.7996 3.1316
O 5.8159 6.4714 1.7222
O 4.3610 2.9511 2.3929
O 4.7092 5.4518 3.9870
O 2.0425 2.8846 1.1404
Co 2.6875 2.4759 2.9387
Co 1.2193 1.1233 1.3333
Co 6.5943 6.0752 7.2106
Co 5.1262 4.7226 5.6052
Ac 4.4157 1.8787 7.0691
Ac 6.8420 4.2473 2.8546
Ac 3.3979 5.3199 1.4747
Ac 5.3975 0.7270 3.5158
Ac 0.9717 2.9513 5.6893
Ac 2.4162 6.4716 5.0280
```

- SG = R-3c
- calculated total energy (Ha/atom) = -0.25484
- magnetization (Bohr magnetons per cell) = 6.07
- D(E_F) (states/eV/cell) = 14.32